Compound: K3Tl2Te4
Source: the Alexandria database
Functional: GGA-PBE
Structure: optimized geometry

Lattice parameters (Å, degrees): 15.493 5.124 11.373 90.00 123.88 90.00
Space group C2/m (No. 12)
Symmetry-distinct sites (fractional):
K: 0.000 0.000 0.000 [2 per cell]
K: 0.123 0.500 0.745 [4 per cell]
Tl: 0.180 0.500 0.342 [4 per cell]
Te: 0.097 0.000 0.392 [4 per cell]
Te: 0.194 0.500 0.103 [4 per cell]

Calculated values
total moment = 0.00 μB per atom
DOS at the Fermi energy = 1.08 states/eV/f.u.
energy above the lowest structure with this stoichiometry = 0.008 eV per atom
ΔE_f (raw) = -5.5 eV/f.u.